(1)
CaZn2BIr2: optimized geometry, PBE.

It has space group P4/mmm (No. 123), with a = 4.153 Å, b = 4.153 Å, c = 5.684 Å, α = 90.00°, β = 90.00° and γ = 90.00°. The distinct sites, in fractional coordinates, are Ca at (0.000, 0.000, 0.000), Zn at (0.500, 0.500, 0.217), B at (0.000, 0.000, 0.500) and Ir at (0.000, 0.500, 0.500).

The calculation puts the total energy at -5.26 eV per atom. As for the total magnetization: 0.000 μB/atom. The density is 9.59 Mg/m³.


(2)
CaZnBIr2: optimized geometry, PBE.

It has space group P4/mmm (No. 123), with a = 4.235 Å, b = 4.235 Å, c = 4.246 Å, α = 90.00°, β = 90.00° and γ = 90.00°. The distinct sites, in fractional coordinates, are Ca at (0.000, 0.000, 0.000), Zn at (0.500, 0.500, 0.000), B at (0.500, 0.500, 0.500) and Ir at (0.000, 0.500, 0.500).

The calculation puts the total energy at -5.82 eV per atom. As for the total magnetization: 0.000 μB/atom. The density is 10.92 Mg/m³.


(3)
K2CaB: optimized geometry, PBE.

It has space group I-42d (No. 122), with a = 11.939 Å, b = 11.939 Å, c = 5.128 Å, α = 90.00°, β = 90.00° and γ = 90.00°. The distinct sites, in fractional coordinates, are K at (0.095, 0.250, 0.125), Ca at (0.000, 0.000, 0.500) and B at (0.000, 0.000, 0.000).

The calculation puts the total energy at -1.92 eV per atom. As for the total magnetization: 0.000 μB/atom. The density is 1.17 Mg/m³.


(4)
KCaB3: optimized geometry, PBE.

It has space group Pm-3m (No. 221), with a = 4.845 Å, b = 4.845 Å, c = 4.845 Å, α = 90.00°, β = 90.00° and γ = 90.00°. The distinct sites, in fractional coordinates, are K at (0.000, 0.000, 0.000), Ca at (0.500, 0.500, 0.500) and B at (0.000, 0.000, 0.500).

The calculation puts the total energy at -2.03 eV per atom. As for the total magnetization: 0.000 μB/atom. The density is 1.63 Mg/m³. Its energy above the most stable polymorph in this dataset is 0.375 eV per atom.


(5)
K3CaB: optimized geometry, PBE.

It has space group Pm-3m (No. 221), with a = 7.536 Å, b = 7.536 Å, c = 7.536 Å, α = 90.00°, β = 90.00° and γ = 90.00°. The distinct sites, in fractional coordinates, are K at (0.000, 0.000, 0.500), Ca at (0.000, 0.000, 0.000) and B at (0.500, 0.500, 0.500).

The calculation puts the total energy at -0.89 eV per atom. As for the total magnetization: 0.206 μB/atom. The density is 0.65 Mg/m³. Its energy above the most stable polymorph in this dataset is 0.638 eV per atom.


(6)
KCaB3: optimized geometry, PBE.

It has space group Pm-3m (No. 221), with a = 5.074 Å, b = 5.074 Å, c = 5.074 Å, α = 90.00°, β = 90.00° and γ = 90.00°. The distinct sites, in fractional coordinates, are K at (0.000, 0.000, 0.000), Ca at (0.500, 0.500, 0.500) and B at (0.000, 0.500, 0.500).

The calculation puts the total energy at -2.40 eV per atom. As for the total magnetization: 0.278 μB/atom. The density is 1.42 Mg/m³. Its energy above the most stable polymorph in this dataset is 0.000 eV per atom.


(7)
K3CaB: optimized geometry, PBE.

It has space group Pm-3m (No. 221), with a = 6.267 Å, b = 6.267 Å, c = 6.267 Å, α = 90.00°, β = 90.00° and γ = 90.00°. The distinct sites, in fractional coordinates, are K at (0.000, 0.000, 0.500), Ca at (0.500, 0.500, 0.500) and B at (0.000, 0.000, 0.000).

The calculation puts the total energy at -1.53 eV per atom. As for the total magnetization: 0.363 μB/atom. The density is 1.13 Mg/m³. Its energy above the most stable polymorph in this dataset is 0.000 eV per atom.


(8)
K2CaBMo: optimized geometry, PBE.

It has space group P4/mmm (No. 123), with a = 6.373 Å, b = 6.373 Å, c = 5.824 Å, α = 90.00°, β = 90.00° and γ = 90.00°. The distinct sites, in fractional coordinates, are K at (0.000, 0.500, 0.000), Ca at (0.000, 0.000, 0.500), B at (0.500, 0.500, 0.500) and Mo at (0.000, 0.000, 0.000).

The calculation puts the total energy at -2.29 eV per atom. As for the total magnetization: 0.474 μB/atom. The density is 1.58 Mg/m³.


(9)
KCaBO3: optimized geometry, PBE.

It has space group P6_3/mmc (No. 194), with a = 5.5260 Å, b = 5.5260 Å, c = 6.3137 Å, α = 90.00°, β = 90.00° and γ = 120.00°. The distinct sites, in fractional coordinates, are K at (0.3333, 0.6667, 0.2500), Ca at (0.0000, 0.0000, 0.0000), B at (0.3333, 0.6667, 0.7500) and O at (0.1872, 0.3744, 0.7500).

The uncorrected formation energy is -2.557 eV/atom. The calculation puts the total energy at -6.67 eV per atom. As for the total magnetization: 0.000 μB/atom. The density is 2.74 Mg/m³.


(10)
K3CaB2O6: optimized geometry, PBE.

It has space group P-3m1 (No. 164), with a = 5.6646 Å, b = 5.6646 Å, c = 6.9101 Å, α = 90.00°, β = 90.00° and γ = 120.00°. The distinct sites, in fractional coordinates, are K at (0.0000, 0.0000, 0.0000), K at (0.3333, 0.6667, 0.7277), Ca at (0.0000, 0.0000, 0.5000), B at (0.3333, 0.6667, 0.2887) and O at (0.1923, 0.3845, 0.2905).

The uncorrected formation energy is -2.233 eV/atom. The calculation puts the total energy at -6.27 eV per atom. As for the total magnetization: 0.085 μB/atom. The density is 2.38 Mg/m³.


(11)
KCaB2P: optimized geometry, PBE.

It has space group P4/mmm (No. 123), with a = 5.119 Å, b = 5.119 Å, c = 5.354 Å, α = 90.00°, β = 90.00° and γ = 90.00°. The distinct sites, in fractional coordinates, are K at (0.000, 0.000, 0.000), Ca at (0.500, 0.500, 0.500), B at (0.000, 0.500, 0.500) and P at (0.500, 0.500, 0.000).

The calculation puts the total energy at -2.81 eV per atom. As for the total magnetization: 0.236 μB/atom. The density is 1.56 Mg/m³.


(12)
KCaB2Pb: optimized geometry, PBE.

It has space group P4/mmm (No. 123), with a = 5.014 Å, b = 5.014 Å, c = 5.770 Å, α = 90.00°, β = 90.00° and γ = 90.00°. The distinct sites, in fractional coordinates, are K at (0.000, 0.000, 0.000), Ca at (0.500, 0.500, 0.000), B at (0.000, 0.500, 0.500) and Pb at (0.500, 0.500, 0.500).

The calculation puts the total energy at -2.51 eV per atom. As for the total magnetization: 0.000 μB/atom. The density is 3.53 Mg/m³.


Among the records above, which one has the highest total magnetization? K2CaBMo